Here is an optimized crystal structure of K2TeAu from Alexandria. Energies are from PBE.

Output
N(E_F)	0.3	states/eV/f.u.
space-group type	Amm2 (38)
ΔE_f (raw)	-516	meV/atom

Cell lengths 6.205, 6.757, 6.757 Å; angles 28.14, 90.00, 90.00 degrees
Element x y z (fractional)
K (0.000, 0.000, 0.000)
K (0.500, 0.243, 0.243)
Te (0.000, 0.737, 0.737)
Au (0.500, 0.505, 0.505)